[1]
Compound: B3C
Source: Alexandria via LeMat-Bulk
Functional: PBE
Structure: optimized geometry

Properties
Energy of formation from the pure elements: 0.382 eV per atom
Crystal system: trigonal

Cell: 2.741 2.741 16.902 Å, 90.00 90.00 120.00°
Sites, in units of the cell vectors:
B (0.000, 0.000, 0.813)
B (0.333, 0.667, 0.831)
B (0.667, 0.333, 0.655)
B (0.000, 0.000, 0.715)
B (0.333, 0.667, 0.316)
B (0.333, 0.667, 0.555)
B (0.667, 0.333, 0.157)
B (0.000, 0.000, 0.216)
B (0.333, 0.667, 0.057)
C (0.000, 0.000, 0.309)
C (0.667, 0.333, 0.562)
C (0.667, 0.333, 0.064)

***

[2]
Compound: B3C
Source: Alexandria via LeMat-Bulk
Functional: PBE
Structure: optimized geometry

Properties
Energy of formation from the pure elements: 0.395 eV per atom
Crystal system: trigonal

Cell: 2.801 2.801 12.647 Å, 90.00 90.00 120.00°
Sites, in units of the cell vectors:
B (0.667, 0.333, 0.773)
B (0.000, 0.000, 0.830)
B (0.333, 0.667, 0.732)
B (0.667, 0.333, 0.627)
B (0.667, 0.333, 0.362)
B (0.000, 0.000, 0.530)
B (0.333, 0.667, 0.592)
B (0.333, 0.667, 0.216)
B (0.000, 0.000, 0.973)
C (0.000, 0.000, 0.408)
C (0.667, 0.333, 0.228)
C (0.333, 0.667, 0.980)